No. 1
# Er3Sb2S (PBE-GGA, optimized geometry)
# E_form (uncorrected)   -1.3429 eV/atom
# DOS at the Fermi energy   21.65 states/eV per cell
data_Er3Sb2S
_cell_length_a 8.409
_cell_length_b 11.901
_cell_length_c 25.124
_cell_angle_alpha 90.00
_cell_angle_beta 90.00
_cell_angle_gamma 90.00
_space_group_name_H-M_alt 'F d d d'
_space_group_IT_number 70
loop_
_space_group_symop_operation_xyz
'x,y,z'
'-x,-y,-z'
'-x+1/4,-y+1/4,z'
'x+1/4,y+1/4,-z'
'x,-y+1/4,-z+1/4'
'-x,y+1/4,z+1/4'
'-x+1/4,y,-z+1/4'
'x+1/4,-y,z+1/4'
'x,y+1/2,z+1/2'
'-x,-y+1/2,-z+1/2'
'-x+1/4,-y+3/4,z+1/2'
'x+1/4,y+3/4,-z+1/2'
'x,-y+3/4,-z+3/4'
'-x,y+3/4,z+3/4'
'-x+1/4,y+1/2,-z+3/4'
'x+1/4,-y+1/2,z+3/4'
'x+1/2,y,z+1/2'
'-x+1/2,-y,-z+1/2'
'-x+3/4,-y+1/4,z+1/2'
'x+3/4,y+1/4,-z+1/2'
'x+1/2,-y+1/4,-z+3/4'
'-x+1/2,y+1/4,z+3/4'
'-x+3/4,y,-z+3/4'
'x+3/4,-y,z+3/4'
'x+1/2,y+1/2,z'
'-x+1/2,-y+1/2,-z'
'-x+3/4,-y+3/4,z'
'x+3/4,y+3/4,-z'
'x+1/2,-y+3/4,-z+1/4'
'-x+1/2,y+3/4,z+1/4'
'-x+3/4,y+1/2,-z+1/4'
'x+3/4,-y+1/2,z+1/4'
loop_
_atom_site_label
_atom_site_type_symbol
_atom_site_fract_x
_atom_site_fract_y
_atom_site_fract_z
Er1 Er 0.105 0.375 0.375
Er2 Er 0.117 0.369 0.212
Sb1 Sb 0.125 0.125 0.377
Sb2 Sb 0.125 0.125 0.544
S1 S 0.125 0.125 0.042



No. 2
# In2CoBiBr (PBE-GGA, optimized geometry)
# E_form (uncorrected)   -0.1291 eV/atom
# DOS at the Fermi energy   2.65 states/eV per cell
data_In2CoBiBr
_cell_length_a 5.104
_cell_length_b 5.104
_cell_length_c 4.989
_cell_angle_alpha 90.00
_cell_angle_beta 90.00
_cell_angle_gamma 90.00
_space_group_name_H-M_alt 'P 4/m m m'
_space_group_IT_number 123
_space_group_name_Hall '-P 4 2'
loop_
_atom_site_label
_atom_site_type_symbol
_atom_site_fract_x
_atom_site_fract_y
_atom_site_fract_z
In1 In 0.000 0.500 0.000
Co1 Co 0.000 0.000 0.000
Bi1 Bi 0.000 0.000 0.500
Br1 Br 0.500 0.500 0.500



No. 3
# Sr2CePrP4 (PBE-GGA, optimized geometry)
# Formation enthalpy at 0 K   -1.202 eV per atom
# DOS at the Fermi energy   8.85 states/eV per cell
data_Sr2CePrP4
_cell_length_a 7.377
_cell_length_b 4.248
_cell_length_c 7.414
_cell_angle_alpha 90.00
_cell_angle_beta 109.43
_cell_angle_gamma 90.00
_space_group_name_H-M_alt 'P 1 2/m 1'
_space_group_IT_number 10
_space_group_name_Hall '-P 2y'
loop_
_atom_site_label
_atom_site_type_symbol
_atom_site_fract_x
_atom_site_fract_y
_atom_site_fract_z
Sr1 Sr 0.000 0.000 0.000
Sr2 Sr 0.500 0.500 0.000
Ce1 Ce 0.000 0.500 0.500
Pr1 Pr 0.500 0.000 0.500
P1 P 0.232 0.000 0.721
P2 P 0.250 0.500 0.273



No. 4
# PmHo2Rh (PBE-GGA, optimized geometry)
# Formation enthalpy at 0 K   -0.511 eV per atom
# Energy above the most stable polymorph in this dataset   0.000 eV/atom
# DOS at the Fermi energy   18.14 states/eV per cell
data_PmHo2Rh
_cell_length_a 7.188
_cell_length_b 9.475
_cell_length_c 6.391
_cell_angle_alpha 90.00
_cell_angle_beta 90.00
_cell_angle_gamma 90.00
_space_group_name_H-M_alt 'P n m a'
_space_group_IT_number 62
_space_group_name_Hall '-P 2ac 2n'
loop_
_atom_site_label
_atom_site_type_symbol
_atom_site_fract_x
_atom_site_fract_y
_atom_site_fract_z
Pm1 Pm 0.034 0.250 0.137
Ho1 Ho 0.176 0.065 0.670
Rh1 Rh 0.117 0.750 0.432



What is the DOS at the Fermi energy in the first record?
21.65 states/eV per cell



Which of these has the lowest DOS at the Fermi energy?
In2CoBiBr



What did the second record say?
# In2CoBiBr (PBE-GGA, optimized geometry)
# E_form (uncorrected)   -0.1291 eV/atom
# DOS at the Fermi energy   2.65 states/eV per cell
data_In2CoBiBr
_cell_length_a 5.104
_cell_length_b 5.104
_cell_length_c 4.989
_cell_angle_alpha 90.00
_cell_angle_beta 90.00
_cell_angle_gamma 90.00
_space_group_name_H-M_alt 'P 4/m m m'
_space_group_IT_number 123
_space_group_name_Hall '-P 4 2'
loop_
_atom_site_label
_atom_site_type_symbol
_atom_site_fract_x
_atom_site_fract_y
_atom_site_fract_z
In1 In 0.000 0.500 0.000
Co1 Co 0.000 0.000 0.000
Bi1 Bi 0.000 0.000 0.500
Br1 Br 0.500 0.500 0.500



Among the records above, which one has the lowest DOS at the Fermi energy?
In2CoBiBr